Entry 1:
BaCd2Hg4: optimized geometry, PBE-GGA.

Calculated values
Space group: No. 12
Spin magnetization: 0.0 μB per cell
Energy: -0.070 Ry/atom
Energy of formation from the pure elements: -0.2418 eV per atom
Fermi-level density of states: 0.440 states/eV/atom

Cell: 5.8001 5.8001 6.7707 Å, 109.96 109.96 77.26°
With the nearest neighbours (Å) after each atom.
Sites, in units of the cell vectors:
Ba: 0.0000 0.0000 0.0000  8 Hg 3.50-3.67, 4 Cd 3.91
Cd: 0.4861 0.4861 0.2094  4 Hg 2.95-3.13, 1 Cd 2.95
Cd: 0.5139 0.5139 0.7906  4 Hg 2.95-3.13, 1 Cd 2.95
Hg: 0.0250 0.6116 0.3368  2 Cd 2.95-3.13, 3 Hg 2.99-3.06
Hg: 0.3884 0.9750 0.6632  2 Cd 2.95-3.13, 3 Hg 2.99-3.06
Hg: 0.6116 0.0250 0.3368  2 Cd 2.95-3.13, 3 Hg 2.99-3.06
Hg: 0.9750 0.3884 0.6632  2 Cd 2.95-3.13, 3 Hg 2.99-3.06

***

Entry 2:
Ba2Cd3Hg: optimized geometry, PBE-GGA.

Calculated values
Space group: No. 69
Spin magnetization: 0.0 μB per cell
Energy: -0.112 Ry/atom
Energy of formation from the pure elements: -0.3714 eV per atom
Fermi-level density of states: 0.791 states/eV/atom

Cell: 10.4179 9.9799 6.7598 Å, 74.19 67.18 38.63°
With the nearest neighbours (Å) after each atom.
Sites, in units of the cell vectors:
Ba: 0.2464 0.7536 0.7536  2 Hg 3.67, 10 Cd 3.69-3.70
Ba: 0.2500 0.2500 0.2500  8 Cd 3.70-3.71, 4 Hg 3.70
Ba: 0.7500 0.7500 0.7500  8 Cd 3.70-3.71, 4 Hg 3.70
Ba: 0.7536 0.2464 0.2464  2 Hg 3.67, 10 Cd 3.69-3.70
Cd: 0.1689 0.6651 0.3349  2 Cd 2.99, 1 Hg 3.03
Cd: 0.3343 0.3343 0.6657  2 Cd 2.99, 1 Hg 3.02
Cd: 0.3349 0.8311 0.1689  2 Cd 2.99, 1 Hg 3.03
Cd: 0.6651 0.1689 0.8311  2 Cd 2.99, 1 Hg 3.03
Cd: 0.6657 0.6657 0.3343  2 Cd 2.99, 1 Hg 3.02
Cd: 0.8311 0.3349 0.6651  2 Cd 2.99, 1 Hg 3.03
Hg: 0.1667 0.1667 0.8333  3 Cd 3.02-3.03
Hg: 0.8333 0.8333 0.1667  3 Cd 3.02-3.03

***

Entry 3:
Ba2Cd4Hg5: optimized geometry, PBE-GGA.

Calculated values
Space group: No. 71
Spin magnetization: 0.0 μB per cell
Energy: -0.078 Ry/atom
Energy of formation from the pure elements: -0.2388 eV per atom
Fermi-level density of states: 0.531 states/eV/atom

Cell: 7.7613 7.7613 7.7613 Å, 130.79 101.45 98.52°
With the nearest neighbours (Å) after each atom.
Sites, in units of the cell vectors:
Ba: 0.2242 0.0000 0.2242  6 Cd 3.48-3.61, 4 Hg 3.67
Ba: 0.7758 0.0000 0.7758  6 Cd 3.48-3.61, 4 Hg 3.67
Cd: 0.0962 0.3430 0.7531  3 Hg 2.95-2.97, 1 Cd 3.18
Cd: 0.4101 0.6570 0.7531  3 Hg 2.95-2.97, 1 Cd 3.18
Cd: 0.5899 0.3430 0.2469  3 Hg 2.95-2.97, 1 Cd 3.18
Cd: 0.9038 0.6570 0.2469  3 Hg 2.95-2.97, 1 Cd 3.18
Hg: 0.0000 0.5000 0.5000  4 Cd 2.95
Hg: 0.3097 0.0486 0.7389  4 Cd 2.97-3.31, 1 Hg 3.09
Hg: 0.3097 0.5707 0.2611  4 Cd 2.97-3.31, 1 Hg 3.09
Hg: 0.6903 0.4293 0.7389  4 Cd 2.97-3.31, 1 Hg 3.09
Hg: 0.6903 0.9514 0.2611  4 Cd 2.97-3.31, 1 Hg 3.09

***

Entry 4:
BaCdHg11: optimized geometry, PBE-GGA.

Calculated values
Space group: No. 12
Spin magnetization: 0.0 μB per cell
Energy: -0.044 Ry/atom
Energy of formation from the pure elements: -0.1224 eV per atom
Fermi-level density of states: 0.442 states/eV/atom

Cell: 8.1968 8.1968 8.1828 Å, 97.88 97.88 135.36°
With the nearest neighbours (Å) after each atom.
Sites, in units of the cell vectors:
Ba: 0.0000 0.0000 0.0000  18 Hg 3.82-4.10, 2 Cd 4.15
Cd: 0.5000 0.5000 0.5000  10 Hg 3.09-3.28
Hg: 0.0000 0.0000 0.5000  2 Cd 3.11, 8 Hg 3.16-3.28
Hg: 0.0000 0.5000 0.0000  10 Hg 3.11-3.37
Hg: 0.0064 0.3595 0.3575  7 Hg 3.11-3.47, 1 Cd 3.28
Hg: 0.2914 0.5036 0.7862  1 Cd 3.09, 7 Hg 3.13-3.44
Hg: 0.3595 0.0064 0.3575  7 Hg 3.11-3.47, 1 Cd 3.28
Hg: 0.4964 0.7086 0.2138  1 Cd 3.09, 7 Hg 3.13-3.44
Hg: 0.5000 0.0000 0.0000  10 Hg 3.11-3.37
Hg: 0.5036 0.2914 0.7862  1 Cd 3.09, 7 Hg 3.13-3.44
Hg: 0.6405 0.9936 0.6425  7 Hg 3.11-3.47, 1 Cd 3.28
Hg: 0.7086 0.4964 0.2138  1 Cd 3.09, 7 Hg 3.13-3.44
Hg: 0.9936 0.6405 0.6425  7 Hg 3.11-3.47, 1 Cd 3.28

***

Entry 5:
BaCd3Hg5: optimized geometry, PBE-GGA.

Calculated values
Space group: No. 63
Spin magnetization: 0.0 μB per cell
Energy: -0.062 Ry/atom
Energy of formation from the pure elements: -0.1612 eV per atom
Fermi-level density of states: 0.463 states/eV/atom

Cell: 7.4399 7.4399 15.7115 Å, 90.00 90.00 143.08°
With the nearest neighbours (Å) after each atom.
Sites, in units of the cell vectors:
Ba: 0.1932 0.8068 0.7500  8 Hg 3.50-3.72, 1 Cd 3.69
Ba: 0.8068 0.1932 0.2500  8 Hg 3.50-3.72, 1 Cd 3.69
Cd: 0.0679 0.9321 0.2500  6 Hg 2.90-3.12
Cd: 0.3580 0.6420 0.5132  7 Hg 2.92-3.16
Cd: 0.3580 0.6420 0.9868  7 Hg 2.92-3.16
Cd: 0.6420 0.3580 0.0132  7 Hg 2.92-3.16
Cd: 0.6420 0.3580 0.4868  7 Hg 2.92-3.16
Cd: 0.9321 0.0679 0.7500  6 Hg 2.90-3.12
Hg: 0.0000 0.0000 0.0000  4 Cd 3.10, 6 Hg 3.34-3.40
Hg: 0.0000 0.0000 0.5000  4 Cd 3.10, 6 Hg 3.34-3.40
Hg: 0.2055 0.7945 0.1128  4 Cd 2.90-2.97
Hg: 0.2055 0.7945 0.3872  4 Cd 2.90-2.97
Hg: 0.4766 0.5234 0.1489  4 Cd 3.05-3.16, 3 Hg 3.18-3.34
Hg: 0.4766 0.5234 0.3511  4 Cd 3.05-3.16, 3 Hg 3.18-3.34
Hg: 0.5234 0.4766 0.6489  4 Cd 3.05-3.16, 3 Hg 3.18-3.34
Hg: 0.5234 0.4766 0.8511  4 Cd 3.05-3.16, 3 Hg 3.18-3.34
Hg: 0.7945 0.2055 0.6128  4 Cd 2.90-2.97
Hg: 0.7945 0.2055 0.8872  4 Cd 2.90-2.97

***

Entry 6:
BaCd2Hg2: optimized geometry, PBE-GGA.

Calculated values
Space group: No. 127
Spin magnetization: 0.0 μB per cell
Energy: -0.078 Ry/atom
Energy of formation from the pure elements: -0.1833 eV per atom
Fermi-level density of states: 0.550 states/eV/atom

Cell: 8.7080 8.7080 3.9554 Å, 90.00 90.00 90.00°
With the nearest neighbours (Å) after each atom.
Sites, in units of the cell vectors:
Ba: 0.0000 0.0000 0.0000  4 Cd 3.48, 8 Hg 3.76
Ba: 0.5000 0.5000 0.0000  4 Cd 3.48, 8 Hg 3.76
Cd: 0.1184 0.3816 0.0000  1 Cd 2.92, 2 Hg 3.17
Cd: 0.3816 0.8816 0.0000  1 Cd 2.92, 2 Hg 3.17
Cd: 0.6184 0.1184 0.0000  1 Cd 2.92, 2 Hg 3.17
Cd: 0.8816 0.6184 0.0000  1 Cd 2.92, 2 Hg 3.17
Hg: 0.1807 0.6807 0.5000  6 Cd 3.17-3.31
Hg: 0.3193 0.1807 0.5000  6 Cd 3.17-3.31
Hg: 0.6807 0.8193 0.5000  6 Cd 3.17-3.31
Hg: 0.8193 0.3193 0.5000  6 Cd 3.17-3.31

***

Entry 7:
Ba2Cd2Hg3: optimized geometry, PBE-GGA.

Calculated values
Space group: No. 12
Spin magnetization: 0.0 μB per cell
Energy: -0.095 Ry/atom
Energy of formation from the pure elements: -0.3541 eV per atom
Fermi-level density of states: 0.644 states/eV/atom

Cell: 6.4713 6.4713 7.9329 Å, 109.53 109.53 45.68°
With the nearest neighbours (Å) after each atom.
Sites, in units of the cell vectors:
Ba: 0.1449 0.1449 0.2603  4 Cd 3.51-3.68, 7 Hg 3.54-3.91
Ba: 0.8551 0.8551 0.7397  4 Cd 3.51-3.68, 7 Hg 3.54-3.91
Cd: 0.1466 0.1466 0.7245  5 Hg 3.11-3.21
Cd: 0.8534 0.8534 0.2755  5 Hg 3.11-3.21
Hg: 0.3904 0.3904 0.0700  3 Cd 3.11-3.19, 2 Hg 3.18-3.19
Hg: 0.5000 0.5000 0.5000  2 Hg 3.18, 4 Cd 3.21
Hg: 0.6096 0.6096 0.9300  3 Cd 3.11-3.19, 2 Hg 3.18-3.19

***

Entry 8:
BaCd3Hg8: optimized geometry, PBE-GGA.

Calculated values
Space group: No. 147
Spin magnetization: 0.0 μB per cell
Energy: -0.050 Ry/atom
Energy of formation from the pure elements: -0.0940 eV per atom
Fermi-level density of states: 0.383 states/eV/atom

Cell: 7.0089 7.0089 8.3023 Å, 90.00 90.00 120.00°
With the nearest neighbours (Å) after each atom.
Sites, in units of the cell vectors:
Ba: 0.0000 0.0000 0.0000  6 Hg 3.43
Cd: 0.0000 0.0000 0.5000  6 Hg 3.08
Cd: 0.3333 0.6667 0.5859  7 Hg 2.97-3.12
Cd: 0.6667 0.3333 0.4141  7 Hg 2.97-3.12
Hg: 0.0863 0.3913 0.2827  3 Cd 2.97-3.12, 3 Hg 3.19-3.28
Hg: 0.3050 0.9137 0.2827  3 Cd 2.97-3.12, 3 Hg 3.19-3.28
Hg: 0.3333 0.6667 0.9553  1 Cd 3.07, 6 Hg 3.28-3.39
Hg: 0.3913 0.3050 0.7173  3 Cd 2.97-3.12, 3 Hg 3.19-3.28
Hg: 0.6087 0.6950 0.2827  3 Cd 2.97-3.12, 3 Hg 3.19-3.28
Hg: 0.6667 0.3333 0.0447  1 Cd 3.07, 6 Hg 3.28-3.39
Hg: 0.6950 0.0863 0.7173  3 Cd 2.97-3.12, 3 Hg 3.19-3.28
Hg: 0.9137 0.6087 0.7173  3 Cd 2.97-3.12, 3 Hg 3.19-3.28